Material: TmTlHgTe3
Method: DFT, GGA-PBE
State: optimized geometry

Cell: 8.022 8.022 11.541 Å, 90.00 90.00 148.21°
Element x y z (fractional)
Te 0.637 0.363 0.043
Te 0.363 0.637 0.957
Te 0.919 0.081 0.250
Te 0.081 0.919 0.750
Te 0.637 0.363 0.457
Te 0.363 0.637 0.543
Tm 0.000 0.000 0.500
Tm 0.000 0.000 0.000
Tl 0.761 0.239 0.750
Tl 0.239 0.761 0.250
Hg 0.540 0.460 0.250
Hg 0.460 0.540 0.750

Energy   -0.1269 hartree per atom
E above lowest polymorph   0.00 eV per formula unit

Material: TmTlHgTe3
Method: DFT, GGA-PBE
State: optimized geometry

Cell: 8.705 4.406 11.022 Å, 90.00 107.67 90.00°
Element x y z (fractional)
Tl 0.243 0.750 0.213
Tl 0.757 0.250 0.787
Te 0.237 0.250 0.942
Te 0.055 0.250 0.356
Te 0.763 0.750 0.058
Te 0.432 0.750 0.631
Te 0.945 0.750 0.644
Te 0.568 0.250 0.369
Tm 0.813 0.750 0.358
Tm 0.187 0.250 0.642
Hg 0.579 0.250 0.117
Hg 0.421 0.750 0.883

Energy   -0.1265 hartree per atom
E above lowest polymorph   0.07 eV per formula unit

Material: TlHg3Te4W
Method: DFT, GGA-PBE
State: optimized geometry

Cell: 7.526 7.526 7.526 Å, 90.00 90.00 90.00°
Element x y z (fractional)
Tl 0.000 0.000 0.000
Hg 0.500 0.000 0.500
Hg 0.500 0.500 0.000
Hg 0.000 0.500 0.500
Te 0.697 0.697 0.303
Te 0.303 0.303 0.303
Te 0.303 0.697 0.697
Te 0.697 0.303 0.697
W 0.500 0.500 0.500

Energy   -0.1091 hartree per atom

Material: YTlHgTe3
Method: DFT, GGA-PBE
State: optimized geometry

Cell: 7.996 7.996 11.606 Å, 90.00 90.00 147.89°
Element x y z (fractional)
Hg 0.961 0.039 0.250
Hg 0.039 0.961 0.750
Te 0.417 0.583 0.750
Te 0.139 0.861 0.546
Te 0.139 0.861 0.954
Te 0.861 0.139 0.454
Te 0.861 0.139 0.046
Te 0.583 0.417 0.250
Y 0.500 0.500 0.500
Y 0.500 0.500 0.000
Tl 0.739 0.261 0.750
Tl 0.261 0.739 0.250

Energy   -0.1403 hartree per atom
E above lowest polymorph   0.00 eV per formula unit

Material: YTlHgTe3
Method: DFT, GGA-PBE
State: optimized geometry

Cell: 4.553 12.720 13.661 Å, 90.00 90.00 90.00°
Element x y z (fractional)
Tl 0.250 0.320 0.490
Tl 0.250 0.820 0.010
Tl 0.750 0.680 0.510
Tl 0.750 0.180 0.990
Y 0.250 0.473 0.189
Y 0.750 0.527 0.811
Y 0.750 0.027 0.689
Y 0.250 0.973 0.311
Te 0.250 0.028 0.848
Te 0.750 0.972 0.152
Te 0.250 0.734 0.331
Te 0.750 0.766 0.831
Te 0.250 0.418 0.931
Te 0.250 0.234 0.169
Te 0.750 0.266 0.669
Te 0.250 0.528 0.652
Te 0.250 0.918 0.569
Te 0.750 0.082 0.431
Te 0.750 0.582 0.069
Te 0.750 0.472 0.348
Hg 0.750 0.253 0.300
Hg 0.750 0.753 0.200
Hg 0.250 0.247 0.800
Hg 0.250 0.747 0.700

Energy   -0.1381 hartree per atom
E above lowest polymorph   0.36 eV per formula unit

Material: YTlHgTe3
Method: DFT, GGA-PBE
State: optimized geometry

Cell: 15.212 4.461 11.884 Å, 90.00 90.00 90.00°
Element x y z (fractional)
Hg 0.521 0.250 0.893
Hg 0.479 0.750 0.107
Hg 0.021 0.250 0.607
Hg 0.979 0.750 0.393
Te 0.900 0.750 0.626
Te 0.600 0.250 0.126
Te 0.602 0.750 0.420
Te 0.398 0.250 0.580
Te 0.898 0.250 0.920
Te 0.342 0.750 0.269
Te 0.400 0.750 0.874
Te 0.102 0.750 0.080
Te 0.842 0.750 0.231
Te 0.158 0.250 0.769
Te 0.658 0.250 0.731
Te 0.100 0.250 0.374
Y 0.974 0.250 0.156
Y 0.526 0.750 0.656
Y 0.474 0.250 0.344
Y 0.026 0.750 0.844
Tl 0.265 0.250 0.051
Tl 0.235 0.750 0.551
Tl 0.765 0.250 0.449
Tl 0.735 0.750 0.949

Energy   -0.1399 hartree per atom
E above lowest polymorph   0.07 eV per formula unit

Material: YTlHgTe3
Method: DFT, GGA-PBE
State: optimized geometry

Cell: 8.918 4.680 18.522 Å, 90.00 90.00 90.00°
Element x y z (fractional)
Hg 0.555 0.750 0.162
Hg 0.945 0.250 0.662
Hg 0.055 0.750 0.338
Hg 0.445 0.250 0.838
Tl 0.426 0.250 0.306
Tl 0.926 0.250 0.194
Tl 0.574 0.750 0.694
Tl 0.074 0.750 0.806
Te 0.496 0.250 0.073
Te 0.719 0.750 0.293
Te 0.781 0.250 0.793
Te 0.281 0.250 0.707
Te 0.219 0.750 0.207
Te 0.374 0.750 0.443
Te 0.626 0.250 0.557
Te 0.004 0.750 0.573
Te 0.996 0.250 0.427
Te 0.874 0.750 0.057
Te 0.504 0.750 0.927
Te 0.126 0.250 0.943
Y 0.725 0.750 0.460
Y 0.225 0.750 0.040
Y 0.275 0.250 0.540
Y 0.775 0.250 0.960

Energy   -0.1372 hartree per atom
E above lowest polymorph   0.51 eV per formula unit

Material: YTlHgTe3
Method: DFT, GGA-PBE
State: optimized geometry

Cell: 10.037 10.037 9.534 Å, 102.13 102.13 25.31°
Element x y z (fractional)
Te 0.313 0.313 0.179
Te 0.333 0.333 0.637
Te 0.500 0.500 0.000
Te 0.667 0.667 0.363
Te 0.000 0.000 0.500
Te 0.687 0.687 0.821
Hg 0.462 0.462 0.277
Hg 0.538 0.538 0.723
Y 0.825 0.825 0.413
Y 0.175 0.175 0.587
Tl 0.133 0.133 0.077
Tl 0.867 0.867 0.923

Energy   -0.1380 hartree per atom
E above lowest polymorph   0.38 eV per formula unit

Material: YTlHgTe3
Method: DFT, GGA-PBE
State: optimized geometry

Cell: 8.728 4.434 11.055 Å, 90.00 107.49 90.00°
Element x y z (fractional)
Te 0.563 0.250 0.867
Te 0.943 0.750 0.146
Te 0.239 0.250 0.444
Te 0.057 0.250 0.854
Te 0.437 0.750 0.133
Te 0.761 0.750 0.556
Hg 0.418 0.750 0.382
Hg 0.582 0.250 0.618
Y 0.812 0.750 0.858
Y 0.188 0.250 0.142
Tl 0.758 0.250 0.288
Tl 0.242 0.750 0.712

Energy   -0.1397 hartree per atom
E above lowest polymorph   0.09 eV per formula unit

Material: YTlHgTe3
Method: DFT, GGA-PBE
State: optimized geometry

Cell: 11.612 4.447 15.170 Å, 90.00 90.00 90.00°
Element x y z (fractional)
Y 0.487 0.750 0.252
Y 0.013 0.250 0.752
Y 0.987 0.750 0.248
Y 0.513 0.250 0.748
Tl 0.735 0.750 0.012
Tl 0.265 0.250 0.988
Tl 0.765 0.250 0.512
Tl 0.235 0.750 0.488
Te 0.058 0.750 0.892
Te 0.762 0.250 0.835
Te 0.942 0.250 0.108
Te 0.964 0.750 0.613
Te 0.464 0.750 0.887
Te 0.262 0.250 0.665
Te 0.558 0.750 0.608
Te 0.036 0.250 0.387
Te 0.738 0.750 0.335
Te 0.536 0.250 0.113
Te 0.442 0.250 0.392
Te 0.238 0.750 0.165
Hg 0.758 0.750 0.713
Hg 0.242 0.250 0.287
Hg 0.258 0.750 0.787
Hg 0.742 0.250 0.213

Energy   -0.1402 hartree per atom
E above lowest polymorph   0.01 eV per formula unit

Material: ZrTlHg3Te4
Method: DFT, GGA-PBE
State: optimized geometry

Cell: 7.296 7.296 7.296 Å, 90.00 90.00 90.00°
Element x y z (fractional)
Tl 0.000 0.000 0.000
Te 0.279 0.279 0.279
Te 0.279 0.721 0.721
Te 0.721 0.721 0.279
Te 0.721 0.279 0.721
Hg 0.000 0.500 0.500
Hg 0.500 0.500 0.000
Hg 0.500 0.000 0.500
Zr 0.500 0.500 0.500

Energy   -0.1052 hartree per atom

Material: TmHgTe
Method: DFT, GGA-PBE
State: optimized geometry

Cell: 5.087 5.087 5.087 Å, 60.00 60.00 60.00°
Element x y z (fractional)
Hg 0.250 0.250 0.250
Te 0.750 0.750 0.750
Tm 0.000 0.000 0.000

Energy   -0.1165 hartree per atom
E above lowest polymorph   0.00 eV per formula unit

Among the records above, which one has the highest energy?
ZrTlHg3Te4

Please write out number 7 again, unchanged.
Material: YTlHgTe3
Method: DFT, GGA-PBE
State: optimized geometry

Cell: 8.918 4.680 18.522 Å, 90.00 90.00 90.00°
Element x y z (fractional)
Hg 0.555 0.750 0.162
Hg 0.945 0.250 0.662
Hg 0.055 0.750 0.338
Hg 0.445 0.250 0.838
Tl 0.426 0.250 0.306
Tl 0.926 0.250 0.194
Tl 0.574 0.750 0.694
Tl 0.074 0.750 0.806
Te 0.496 0.250 0.073
Te 0.719 0.750 0.293
Te 0.781 0.250 0.793
Te 0.281 0.250 0.707
Te 0.219 0.750 0.207
Te 0.374 0.750 0.443
Te 0.626 0.250 0.557
Te 0.004 0.750 0.573
Te 0.996 0.250 0.427
Te 0.874 0.750 0.057
Te 0.504 0.750 0.927
Te 0.126 0.250 0.943
Y 0.725 0.750 0.460
Y 0.225 0.750 0.040
Y 0.275 0.250 0.540
Y 0.775 0.250 0.960

Energy   -0.1372 hartree per atom
E above lowest polymorph   0.51 eV per formula unit